--- w ---
PBE AcGeTe, optimized geometry; spin magnetization = 0.00 μB per atom; mass density = 7.816 g cm⁻³
1.0
4.183 0.000 0.000
0.000 5.006 0.000
0.000 -2.503 4.335
Ac Te Ge
1 1 1
Cartesian
0.001 0.000 0.000
2.094 2.503 1.445
2.088 0.000 2.890



--- x ---
PBE AcGeTe, optimized geometry; spin magnetization = 0.00 μB per atom; mass density = 6.656 g cm⁻³
1.0
-3.413 -5.434 1.138
4.232 -2.673 0.496
-0.042 0.901 6.455
Ge Ac Te
2 2 2
Cartesian
3.208 -3.009 3.483
0.639 -2.233 4.204
0.567 -2.781 1.062
-1.125 -4.970 4.918
-1.688 -5.184 1.692
2.101 -4.361 5.806



Which is the most stable structure? x is the most stable.



--- w ---
PBE Ac2GeTe, optimized geometry; spin magnetization = 0.00 μB per atom; mass density = 7.292 g cm⁻³
1.0
-3.965 1.012 2.212
2.649 -3.530 1.471
7.887 9.921 9.600
Te Ge Ac
2 2 4
Cartesian
6.360 5.425 8.918
0.211 1.978 4.365
3.944 4.960 4.800
0.000 0.000 0.000
3.046 5.543 7.815
3.525 1.860 5.468
1.307 -0.931 2.768
5.264 8.334 10.515



--- x ---
PBE Ac2GeTe, optimized geometry; spin magnetization = 0.00 μB per atom; mass density = 7.333 g cm⁻³
1.0
4.607 0.000 0.000
2.304 3.990 0.000
2.304 1.330 8.059
Ac Ge Te
2 1 1
Cartesian
2.304 1.330 6.295
2.304 1.330 1.755
6.911 3.990 8.040
4.607 2.660 4.058



--- y ---
PBE Ac2GeTe, optimized geometry; spin magnetization = 0.00 μB per atom; mass density = 8.426 g cm⁻³
1.0
5.671 0.000 0.000
2.835 4.911 0.000
2.835 1.637 4.630
Te Ac Ge
1 2 1
Cartesian
0.000 0.000 0.000
8.506 4.911 3.473
2.835 1.637 1.158
5.671 3.274 2.315



Which is the most stable structure? w is the most stable.



--- w ---
PBE Ac2GeTe, optimized geometry; spin magnetization = 0.00 μB per atom; mass density = 7.390 g cm⁻³
1.0
-2.776 2.190 -3.050
-4.528 -1.111 -0.251
-4.060 5.768 4.260
Ge Te Ac
1 1 2
Cartesian
0.000 0.000 0.000
-5.682 3.424 0.479
-8.567 5.279 0.861
-2.797 1.568 0.098



--- x ---
PBE Ac2GeTe, optimized geometry; spin magnetization = 0.00 μB per atom; mass density = 8.472 g cm⁻³
1.0
-0.419 0.800 -3.829
-1.999 -3.354 -0.482
-7.080 3.990 1.608
Ac Ge Te
2 1 1
Cartesian
-5.426 3.057 1.232
-1.654 0.932 0.376
-1.209 -1.277 -2.156
-4.749 0.718 -1.352



Which is the most stable structure? w is the most stable.



--- w ---
PBE Ac4GeTe3, optimized geometry; spin magnetization = 0.00 μB per atom; mass density = 7.631 g cm⁻³
1.0
6.660 0.000 0.000
0.000 6.660 0.000
-3.330 -3.330 6.689
Ge Ac Te
1 4 3
Cartesian
0.000 0.000 0.000
0.000 3.330 0.000
3.330 3.330 3.534
3.330 0.000 0.000
0.000 0.000 3.156
3.330 3.330 0.000
0.000 3.330 3.345
3.330 0.000 3.345



--- x ---
PBE Ac4GeTe3, optimized geometry; spin magnetization = 0.00 μB per atom; mass density = 7.605 g cm⁻³
1.0
4.689 0.000 0.000
0.000 7.501 -3.310
0.000 0.663 8.171
Ac Ge Te
4 1 3
Cartesian
2.345 2.287 5.445
0.000 6.297 3.750
0.000 1.867 1.112
2.345 5.877 -0.583
2.345 0.000 0.000
0.000 0.332 4.086
2.345 4.082 2.431
0.000 3.750 -1.655



Which is the most stable structure? x is the most stable.



--- w ---
PBE AcTh2Ge6, optimized geometry; spin magnetization = 0.00 μB per atom; mass density = 7.973 g cm⁻³
1.0
-3.354 0.517 -2.397
-5.908 -4.168 3.767
-5.202 4.272 4.600
Ge Ac Th
6 1 2
Cartesian
-8.509 2.549 5.254
-8.896 -2.085 4.797
-7.091 2.004 3.152
-5.569 2.706 1.174
-7.374 -1.384 2.818
-5.956 -1.928 0.716
0.000 0.000 0.000
-9.936 0.514 3.211
-4.529 0.106 2.759



--- x ---
PBE AcTh2Ge6, optimized geometry; spin magnetization = 0.00 μB per atom; mass density = 8.620 g cm⁻³
1.0
-1.017 -2.849 2.875
7.198 -2.858 -0.285
-1.726 5.664 5.001
Ge Ac Th
6 1 2
Cartesian
2.526 2.349 6.250
-1.650 2.321 4.745
1.345 -0.474 3.035
-1.093 0.494 3.131
1.929 -2.392 1.341
3.111 0.431 4.557
-1.726 5.664 5.001
1.249 2.823 3.239
3.206 -2.866 4.352



Which is the most stable structure? x is the most stable.



--- w ---
PBE AcTh2Ge, optimized geometry; spin magnetization = 0.00 μB per atom; mass density = 9.266 g cm⁻³
1.0
4.032 0.000 0.000
2.016 3.492 0.000
2.016 1.164 9.722
Th Ac Ge
2 1 1
Cartesian
2.016 1.164 7.906
2.016 1.164 1.809
4.032 2.328 4.874
6.048 3.492 9.717



--- x ---
PBE AcTh2Ge, optimized geometry; spin magnetization = 0.00 μB per atom; mass density = 10.574 g cm⁻³
1.0
4.956 0.000 0.000
0.000 4.920 0.000
0.000 0.000 4.920
Th Ge Ac
2 1 1
Cartesian
0.000 2.460 0.000
0.000 0.000 2.460
2.478 2.460 2.460
2.478 0.000 0.000



Which is the most stable structure? w is the most stable.



--- w ---
PBE Ac3TlGe2, optimized geometry; spin magnetization = 0.00 μB per atom; mass density = 8.010 g cm⁻³
1.0
-1.745 -8.451 0.141
5.559 -5.946 -2.870
4.058 -5.500 5.269
Ac Ge Tl
6 4 2
Cartesian
6.476 -10.608 3.467
2.532 -8.227 3.873
5.911 -7.355 0.229
5.339 -11.670 -1.333
1.961 -12.542 2.312
1.396 -9.289 -0.927
2.734 -6.910 0.882
5.138 -12.987 1.658
6.669 -16.858 2.153
1.202 -3.039 0.388
3.936 -9.949 1.270
0.000 0.000 0.000



--- x ---
PBE Ac3TlGe2, optimized geometry; spin magnetization = 0.00 μB per atom; mass density = 8.938 g cm⁻³
1.0
-2.531 4.091 0.191
-2.357 -1.284 -3.734
-4.605 -5.913 4.941
Ac Tl Ge
3 1 2
Cartesian
-3.292 0.710 1.834
-2.444 1.403 -1.772
-3.844 -2.532 3.297
0.000 0.000 0.000
-2.943 -1.804 -0.354
-6.551 -1.302 1.751



Which is the most stable structure? w is the most stable.



--- w ---
PBE AcTlGe, optimized geometry; spin magnetization = 0.00 μB per atom; mass density = 8.696 g cm⁻³
1.0
4.573 0.000 0.000
0.000 7.198 0.000
0.000 0.000 11.697
Ac Ge Tl
4 4 4
Cartesian
3.430 5.608 10.616
1.143 2.009 6.929
1.143 1.590 1.080
3.430 5.188 4.768
3.430 6.819 1.976
3.430 3.977 7.824
1.143 3.220 3.873
1.143 0.379 9.721
3.430 2.184 10.131
3.430 1.415 4.282
1.143 5.014 1.566
1.143 5.782 7.414



--- x ---
PBE AcTlGe, optimized geometry; spin magnetization = 0.00 μB per atom; mass density = 9.202 g cm⁻³
1.0
-2.849 2.582 3.219
0.458 -3.880 3.517
-0.275 10.107 7.258
Ge Tl Ac
2 2 2
Cartesian
-0.553 2.760 7.046
-2.113 6.049 6.949
-0.927 0.522 4.625
-1.739 8.287 9.370
-0.451 4.862 9.352
-2.215 3.947 4.643



--- y ---
PBE AcTlGe, optimized geometry; spin magnetization = 0.00 μB per atom; mass density = 9.070 g cm⁻³
1.0
5.008 0.000 0.000
0.000 4.613 0.000
0.000 -2.306 3.995
Ac Ge Tl
1 1 1
Cartesian
0.140 0.000 0.000
1.869 2.306 1.332
2.998 0.000 2.663



--- z ---
PBE AcTlGe, optimized geometry; spin magnetization = 0.00 μB per atom; mass density = 8.489 g cm⁻³
1.0
-4.265 2.950 0.002
-4.442 -1.867 1.916
-1.874 1.845 4.469
Tl Ac Ge
1 1 1
Cartesian
0.000 0.000 0.000
-5.291 1.464 3.194
-2.645 0.732 1.597



Which is the most stable structure? y is the most stable.